Below is an optimized crystal structure of LiNd2Co3H12, with properties calculated at the PBE-GGA level.

Calculated values
DOS(E_F) (states/eV per cell): 5.03
DFT total energy (eV/atom): -4.316
M_tot (μB per formula unit): 1.760

Geometry as POSCAR:
```
LiNd2Co3H12
1.0
2.961 1.710 4.653
-2.961 1.710 4.653
0.000 -3.419 4.653
Li Nd Co H
1 2 3 12
Direct
0.000 0.000 0.000
0.381 0.381 0.381
0.619 0.619 0.619
0.000 0.000 0.500
0.000 0.500 0.000
0.500 0.000 0.000
0.108 0.108 0.619
0.108 0.619 0.108
0.127 0.689 0.689
0.311 0.311 0.873
0.311 0.873 0.311
0.381 0.892 0.892
0.619 0.108 0.108
0.689 0.127 0.689
0.689 0.689 0.127
0.873 0.311 0.311
0.892 0.381 0.892
0.892 0.892 0.381
```

Below is an optimized crystal structure of LiNd2CoH6, with properties calculated at the PBE-GGA level.

Calculated values
DOS(E_F) (states/eV per cell): 2.43
DFT total energy (eV/atom): -4.253
M_tot (μB per formula unit): 0.000

Geometry as POSCAR:
```
LiNd2CoH6
1.0
5.010 0.000 0.000
-2.505 4.338 0.000
0.000 0.000 4.663
Li Nd Co H
1 2 1 6
Direct
0.000 0.000 0.000
0.333 0.667 0.262
0.667 0.333 0.738
0.000 0.000 0.500
0.157 0.314 0.713
0.157 0.843 0.713
0.314 0.157 0.287
0.686 0.843 0.713
0.843 0.157 0.287
0.843 0.686 0.287
```

Below is an optimized crystal structure of Li2NdCoH8, with properties calculated at the PBE-GGA level.

Calculated values
DFT total energy (eV/atom): -3.950
M_tot (μB per formula unit): 0.040

Geometry as POSCAR:
```
Li2NdCoH8
1.0
4.334 0.000 0.000
-2.167 3.754 0.000
0.000 0.000 5.971
Li Nd Co H
2 1 1 8
Direct
0.333 0.667 0.391
0.667 0.333 0.609
0.000 0.000 0.000
0.000 0.000 0.500
0.164 0.329 0.651
0.164 0.836 0.651
0.329 0.164 0.349
0.333 0.667 0.049
0.667 0.333 0.951
0.671 0.836 0.651
0.836 0.164 0.349
0.836 0.671 0.349
```

Below is an optimized crystal structure of LiCo2NiH, with properties calculated at the PBE-GGA level.

Calculated values
DOS(E_F) (states/eV per cell): 5.54
DFT total energy (eV/atom): -4.950
M_tot (μB per formula unit): 3.195

Geometry as POSCAR:
```
LiCo2NiH
1.0
3.536 0.000 0.000
0.000 3.536 0.000
0.000 0.000 3.724
Li Co Ni H
1 2 1 1
Direct
0.000 0.000 0.000
0.000 0.500 0.500
0.500 0.000 0.500
0.500 0.500 0.000
0.500 0.500 0.500
```

Below is an optimized crystal structure of Li2CoNiH6, with properties calculated at the PBE-GGA level.

Calculated values
DOS(E_F) (states/eV per cell): 3.18
DFT total energy (eV/atom): -3.920
M_tot (μB per formula unit): 0.000

Geometry as POSCAR:
```
Li2CoNiH6
1.0
3.200 -3.234 0.000
3.200 3.234 0.000
-3.185 0.000 3.227
Li Co Ni H
2 1 1 6
Direct
0.250 0.750 0.000
0.750 0.250 0.000
0.000 0.000 0.500
0.500 0.500 0.500
0.247 0.753 0.500
0.248 0.248 0.994
0.249 0.249 0.502
0.751 0.751 0.498
0.752 0.752 0.006
0.753 0.247 0.500
```

Below is an optimized crystal structure of LiCoNi2H5, with properties calculated at the PBE-GGA level.

Calculated values
DOS(E_F) (states/eV per cell): 3.98
DFT total energy (eV/atom): -4.215
M_tot (μB per formula unit): 0.000

Geometry as POSCAR:
```
LiCoNi2H5
1.0
-1.569 2.142 4.490
1.569 -2.142 4.490
1.569 2.142 -4.490
Li Co Ni H
1 1 2 5
Direct
0.000 0.000 0.000
0.500 0.500 0.000
0.279 0.779 0.500
0.721 0.221 0.500
0.118 0.354 0.764
0.411 0.646 0.764
0.500 0.000 0.500
0.589 0.354 0.236
0.882 0.646 0.236
```